Computed, not measured: a relaxed structure of CrBO3 at the PBE with a Hubbard U level of DFT.

Calculated values
E: -5.644 eV per atom
volume: 9.8 A^3/atom
M_tot: 0.0 μB/f.u.

Lattice parameters (Å, degrees): 3.657 3.657 3.657 90.00 90.00 90.00
Space group Pm-3m (No. 221)
One atom of each set of equivalent atoms:
Cr: 0.000 0.000 0.000 [1 per cell]
B: 0.500 0.500 0.500 [1 per cell]
O: 0.000 0.000 0.500 [3 per cell]